Entry 1:
## Sn4Pd15Pt (PBE-GGA)

Data for a geometry-optimized Sn4Pd15Pt structure.

It has space group P4/mmm (No. 123), with a = 4.035 Å, b = 4.035 Å, c = 19.979 Å, α = 90.00°, β = 90.00° and γ = 90.00°. The distinct sites, in fractional coordinates, are Sn at (0.000, 0.000, 0.101), Sn at (0.000, 0.000, 0.304), Pd at (0.000, 0.500, 0.000), Pd at (0.000, 0.500, 0.202), Pd at (0.000, 0.500, 0.402), Pd at (0.500, 0.500, 0.101), Pd at (0.500, 0.500, 0.303), Pd at (0.500, 0.500, 0.500) and Pt at (0.000, 0.000, 0.500).

As for the formation energy: -0.3986 eV per atom.

***

Entry 2:
## LaTm2PuS4 (PBE-GGA)

Data for a geometry-optimized LaTm2PuS4 structure.

It has space group P2/m (No. 10), with a = 6.823 Å, b = 3.918 Å, c = 6.913 Å, α = 90.00°, β = 108.97° and γ = 90.00°. The distinct sites, in fractional coordinates, are La at (0.000, 0.000, 0.000), Tm at (0.000, 0.500, 0.500), Tm at (0.500, 0.000, 0.500), Pu at (0.500, 0.500, 0.000), S at (0.250, 0.000, 0.734) and S at (0.262, 0.500, 0.271).

The total energy is -60.43 eV/cell.

***

Entry 3:
## SrNiBr2 (PBE-GGA)

Data for a geometry-optimized SrNiBr2 structure.

It has space group C2/m (No. 12), with a = 14.033 Å, b = 4.261 Å, c = 4.613 Å, α = 90.00°, β = 93.63° and γ = 90.00°. The distinct sites, in fractional coordinates, are Sr at (0.000, 0.000, 0.000), Ni at (0.000, 0.500, 0.500) and Br at (0.140, 0.500, 0.761).

The total energy is -29.59 eV/cell.